Compound: TeMoSe2SBr
Source: the Open Quantum Materials Database
Functional: PBE
Structure: optimized geometry

The structure in extended XYZ format:
```
12
Lattice="6.548 0.000 0.000 -3.263 7.533 0.000 -2.093 -3.446 7.209" Properties=species:S:1:pos:R:3 pbc="T T T"
Te -0.002 1.051 1.871
Te 1.195 3.036 5.338
Mo 1.851 0.001 0.005
Mo -0.658 4.087 7.204
Se -3.264 6.070 1.338
Se -2.090 3.972 5.083
Se 3.283 0.115 2.126
Se 4.457 -1.983 5.871
S -2.087 2.215 6.561
S 3.279 1.872 0.648
Br 0.013 3.970 1.747
Br 1.179 0.117 5.462
```

Properties
total magnetization	0.0	μB per formula unit
E above lowest polymorph	70.7	meV/atom
E_tot	-4.80	eV per atom
space group	No. 2


Compound: Te2MoSeSBr
Source: the Open Quantum Materials Database
Functional: PBE
Structure: optimized geometry

The structure in extended XYZ format:
```
12
Lattice="6.634 0.000 0.000 -3.290 7.545 0.000 -1.125 -3.999 7.407" Properties=species:S:1:pos:R:3 pbc="T T T"
Te 0.006 -0.992 1.900
Te -1.089 3.509 5.085
Te 3.308 0.037 2.322
Te 2.214 4.539 5.507
Mo -2.578 3.546 7.400
Mo 4.797 0.000 0.007
Se 0.024 5.532 0.632
Se 2.195 -1.985 6.775
S 0.004 1.347 1.228
S 2.215 2.200 6.179
Br -1.106 -0.051 5.507
Br 3.325 3.598 1.900
```

Properties
total magnetization	0.0	μB per formula unit
E above lowest polymorph	100.4	meV/atom
E_tot	-4.69	eV per atom
space group	No. 2


Compound: TeMoSeS2Br
Source: the Open Quantum Materials Database
Functional: PBE
Structure: optimized geometry

The structure in extended XYZ format:
```
12
Lattice="6.394 0.000 0.000 -1.091 7.978 0.000 -3.187 -3.447 6.602" Properties=species:S:1:pos:R:3 pbc="T T T"
Te -0.003 2.053 1.101
Te 2.119 2.477 5.500
Mo 1.458 0.008 0.006
Mo 0.658 4.523 6.595
Se -1.087 6.487 1.507
Se 3.203 -1.956 5.094
S -1.091 3.958 4.831
S -1.089 2.737 6.478
S 3.205 1.794 0.124
S 3.207 0.573 1.771
Br 0.000 -0.117 4.021
Br 2.116 4.648 2.580
```

Properties
total magnetization	0.0	μB per formula unit
E above lowest polymorph	86.3	meV/atom
E_tot	-4.90	eV per atom
space group	No. 2